No. 1
Material: CsHPdCl6
Method: DFT, PBE-GGA
State: relaxed

abc: 8.0016 6.8260 7.3235
angles: 66.76 85.95 48.62
Closest atoms and distances in Å follow each position.
Fractional positions:
Cl: 0.6330 0.0255 0.7875  1 Pd 2.35
Cl: 0.4168 0.5575 0.3044  1 Pd 2.35
H: 0.8333 0.7777 0.4999  2 Cl 1.56
Cl: 0.0339 0.5297 0.2124  1 Pd 2.35
Cs: 0.8328 0.2784 0.0000  8 Cl 3.66-3.79, 2 H 3.90
Cl: 0.2498 0.9981 0.6956  1 Pd 2.35
Cl: 0.0743 0.6309 0.6157  1 H 1.56
Pd: 0.3334 0.2777 0.5000  6 Cl 2.35-2.36
Cl: 0.5925 0.9244 0.3843  1 H 1.56

Summary:
density: 2838 kg/m3
total magnetization: 0.00 μB per cell
energy: -3.038 eV/atom

---

No. 2
Material: ZnTcCl3
Method: DFT, PBE-GGA
State: relaxed

abc: 4.9328 4.9328 4.9328
angles: 90.00 90.00 90.00
Closest atoms and distances in Å follow each position.
Fractional positions:
Tc: 0.0000 0.0000 0.0000  6 Cl 2.47
Cl: 0.5000 0.0000 0.0000  2 Tc 2.47
Cl: 0.0000 0.5000 0.0000  2 Tc 2.47
Zn: 0.5000 0.5000 0.5000  12 Cl 3.49
Cl: 0.0000 0.0000 0.5000  2 Tc 2.47

Summary:
formation energy from raw total energies: -0.44 eV per formula unit
density: 3732 kg/m3
total magnetization: 2.97 μB per cell
relative energy among the computed polymorphs: 0.0000 eV/atom

---

No. 3
Material: Zr2CrTe
Method: DFT, PBE-GGA
State: relaxed

abc: 5.3204 5.3204 5.3204
angles: 136.44 126.49 71.38
Closest atoms and distances in Å follow each position.
Fractional positions:
Zr: 0.0110 0.0110 0.0000  2 Cr 2.86, 4 Te 3.00-3.16, 4 Zr 3.11
Zr: 0.4890 0.4890 0.0000  2 Cr 2.86, 4 Te 3.00-3.16, 4 Zr 3.11
Te: 0.7500 0.2500 0.5000  8 Zr 3.00-3.16, 4 Cr 3.10
Cr: 0.2500 0.7500 0.5000  4 Zr 2.86, 4 Te 3.10

Summary:
formation energy from raw total energies: -0.33 eV per formula unit
density: 7356 kg/m3
total magnetization: 2.44 μB per cell

---

Question: Look up the total magnetization of the first one.
Answer: 0.00 μB per cell

---

Question: Which of these has the lowest density?
Answer: CsHPdCl6